No. 1
This record from the Alexandria database describes crystalline LaFeNi2 at its relaxed geometry. The functional is PBE.

Structure (CIF):
```
data_LaFeNi2
_chemical_formula_sum 'La1 Fe1 Ni2'
_cell_length_a 4.493
_cell_length_b 4.493
_cell_length_c 4.493
_cell_angle_alpha 60.00
_cell_angle_beta 60.00
_cell_angle_gamma 60.00
_space_group_name_H-M_alt 'P 1'
_space_group_IT_number 1
loop_
_space_group_symop_operation_xyz
'x,y,z'
loop_
_atom_site_label
_atom_site_fract_x
_atom_site_fract_y
_atom_site_fract_z
Fe1 0.500 0.500 0.500
La1 0.750 0.750 0.750
Ni1 0.000 0.000 0.000
Ni2 0.250 0.250 0.250
```

No. 2
This record from the Alexandria database describes crystalline LaFeNi2 at its relaxed geometry. The functional is PBE.

Structure (CIF):
```
data_LaFeNi2
_chemical_formula_sum 'La1 Fe1 Ni2'
_cell_length_a 3.878
_cell_length_b 3.407
_cell_length_c 5.584
_cell_angle_alpha 72.24
_cell_angle_beta 90.00
_cell_angle_gamma 90.00
_space_group_name_H-M_alt 'P 1'
_space_group_IT_number 1
loop_
_space_group_symop_operation_xyz
'x,y,z'
loop_
_atom_site_label
_atom_site_fract_x
_atom_site_fract_y
_atom_site_fract_z
Fe1 0.000 0.508 0.359
La1 0.500 0.784 0.806
Ni1 0.000 0.172 0.031
Ni2 0.500 0.036 0.304
```

No. 3
This record from the Alexandria database describes crystalline LaFe2Ni at its relaxed geometry. The functional is PBE.

Structure (CIF):
```
data_LaFe2Ni
_chemical_formula_sum 'La1 Fe2 Ni1'
_cell_length_a 4.691
_cell_length_b 4.691
_cell_length_c 4.691
_cell_angle_alpha 128.69
_cell_angle_beta 117.88
_cell_angle_gamma 84.68
_space_group_name_H-M_alt 'P 1'
_space_group_IT_number 1
loop_
_space_group_symop_operation_xyz
'x,y,z'
loop_
_atom_site_label
_atom_site_fract_x
_atom_site_fract_y
_atom_site_fract_z
Fe1 0.002 0.002 0.000
Fe2 0.210 0.710 0.500
La1 0.498 0.498 0.000
Ni1 0.790 0.290 0.500
```

No. 4
# La2FeNi (PBE, optimized geometry)
data_La2FeNi
_chemical_formula_sum 'La2 Fe1 Ni1'
_cell_length_a 5.003
_cell_length_b 5.003
_cell_length_c 5.003
_cell_angle_alpha 60.00
_cell_angle_beta 60.00
_cell_angle_gamma 60.00
_space_group_name_H-M_alt 'P 1'
_space_group_IT_number 1
loop_
_space_group_symop_operation_xyz
'x,y,z'
loop_
_atom_site_label
_atom_site_fract_x
_atom_site_fract_y
_atom_site_fract_z
Ni1 0.500 0.500 0.500
Fe1 0.000 0.000 0.000
La1 0.250 0.250 0.250
La2 0.750 0.750 0.750
# Polymorph energy (0 for the lowest one) in meV per atom: 117

No. 5
This record from the Alexandria database describes crystalline LaFeNi2 at its relaxed geometry. The functional is PBE.

Structure (CIF):
```
data_LaFeNi2
_chemical_formula_sum 'La1 Fe1 Ni2'
_cell_length_a 4.128
_cell_length_b 4.128
_cell_length_c 5.424
_cell_angle_alpha 67.45
_cell_angle_beta 67.45
_cell_angle_gamma 60.02
_space_group_name_H-M_alt 'P 1'
_space_group_IT_number 1
loop_
_space_group_symop_operation_xyz
'x,y,z'
loop_
_atom_site_label
_atom_site_fract_x
_atom_site_fract_y
_atom_site_fract_z
Fe1 0.437 0.437 0.690
La1 0.250 0.250 0.251
Ni1 0.059 0.059 0.822
Ni2 0.754 0.754 0.737
```

No. 6
# La2FeNi (PBE, optimized geometry)
data_La2FeNi
_chemical_formula_sum 'La2 Fe1 Ni1'
_cell_length_a 6.419
_cell_length_b 6.419
_cell_length_c 4.372
_cell_angle_alpha 70.07
_cell_angle_beta 70.07
_cell_angle_gamma 32.43
_space_group_name_H-M_alt 'P 1'
_space_group_IT_number 1
loop_
_space_group_symop_operation_xyz
'x,y,z'
loop_
_atom_site_label
_atom_site_fract_x
_atom_site_fract_y
_atom_site_fract_z
Fe1 0.195 0.195 0.305
La1 0.981 0.981 0.019
La2 0.766 0.766 0.734
Ni1 0.559 0.559 0.441
# Polymorph energy (0 for the lowest one) in meV per atom: 81

| no. | energy of formation from the pure elements (eV/atom) | volume (Å³/atom) |
| --- | --- | --- |
| 1 | 0.249 | 16.0 |
| 2 | 0.073 | 17.6 |
| 3 | 0.308 | 17.0 |
| 4 | 0.069 | 22.1 |
| 5 | -0.134 | 17.9 |
| 6 | 0.033 | 22.6 |